No. 1
A plane-wave DFT calculation with PBEsol was carried out for a relaxed structure of GaIrSN2.

a b c (Å): 3.6866 3.6866 4.9246
angles (deg): 90.00 90.00 90.00
Element x y z (fractional)
Ga: 0.0000 0.0000 0.0000
Ir: 0.5000 0.5000 0.5000
S: 0.0000 0.0000 0.5000
N: 0.0000 0.5000 0.0000
N: 0.5000 0.0000 0.0000

## Properties
Formation energy from raw total energies   8.2 eV per formula unit
Calculated volume   13.39 Å³/atom

No. 2
A plane-wave DFT calculation with PBEsol was carried out for a relaxed structure of Na2GaIr.

a b c (Å): 10.8818 10.8818 10.8818
angles (deg): 160.65 160.65 27.50
Element x y z (fractional)
Na: 0.1211 0.6250 0.9961
Na: 0.3750 0.3711 0.4961
Na: 0.6289 0.1250 0.0039
Na: 0.8750 0.8789 0.5039
Ga: 0.2500 0.7500 0.5000
Ga: 0.5000 0.5000 0.0000
Ir: 0.0000 0.0000 0.0000
Ir: 0.7500 0.2500 0.5000

## Properties
Calculated volume   17.67 Å³/atom
ΔH_f (0 K)   0.295 eV per atom

No. 3
A plane-wave DFT calculation with PBEsol was carried out for a relaxed structure of Na2GaIrOs.

a b c (Å): 5.1531 5.1531 4.6316
angles (deg): 90.00 90.00 90.00
Element x y z (fractional)
Na: 0.0000 0.5000 0.0000
Na: 0.5000 0.0000 0.0000
Ga: 0.0000 0.0000 0.5000
Ir: 0.0000 0.0000 0.0000
Os: 0.5000 0.5000 0.5000

## Properties
Calculated volume   24.60 Å³/atom
ΔH_f (0 K)   1.744 eV per atom

Please write out number 2 again, unchanged.
A plane-wave DFT calculation with PBEsol was carried out for a relaxed structure of Na2GaIr.

a b c (Å): 10.8818 10.8818 10.8818
angles (deg): 160.65 160.65 27.50
Element x y z (fractional)
Na: 0.1211 0.6250 0.9961
Na: 0.3750 0.3711 0.4961
Na: 0.6289 0.1250 0.0039
Na: 0.8750 0.8789 0.5039
Ga: 0.2500 0.7500 0.5000
Ga: 0.5000 0.5000 0.0000
Ir: 0.0000 0.0000 0.0000
Ir: 0.7500 0.2500 0.5000

## Properties
Calculated volume   17.67 Å³/atom
ΔH_f (0 K)   0.295 eV per atom

- Which formula does entry 3 have?
  Na2GaIrOs